(1)
A relaxed TiCd2 crystal. Source: Alexandria, functional GGA-PBE.

Computed properties:
Uncorrected energy in eV per atom: -2.75
SG: No. 12
DOS at the Fermi energy in states/eV per atom: 1.131
Formation energy in eV/atom: 0.489

Cell lengths 4.6206, 4.6281, 4.6366 Å; angles 119.94, 119.77, 90.00 degrees
Last column: nearest neighbours and their distance in Å.
Sites, in units of the cell vectors:
Ti1 0.0000 0.0000 0.0000  8 Cd 2.84
Cd1 0.7496 0.2503 0.5007  4 Ti 2.84
Cd2 0.2504 0.7497 0.4993  4 Ti 2.84

---

(2)
A relaxed TiGa2Au crystal. Source: Alexandria, functional GGA-PBE.

Computed properties:
Uncorrected energy in eV per atom: -4.43
SG: No. 160
DOS at the Fermi energy in states/eV per atom: 0.695
Formation energy in eV/atom: -0.122

Cell lengths 3.9422, 3.9422, 5.9663 Å; angles 70.71, 70.71, 60.00 degrees
Last column: nearest neighbours and their distance in Å.
Sites, in units of the cell vectors:
Ti1 0.6726 0.6726 0.9822  6 Ga 2.60-2.72
Ga1 0.0824 0.0824 0.7529  3 Ti 2.60, 3 Au 2.63, 1 Ga 2.76
Ga2 0.2491 0.2491 0.2527  3 Au 2.69, 3 Ti 2.72, 1 Ga 2.76
Au1 0.4959 0.4959 0.5122  6 Ga 2.63-2.69, 1 Ti 2.92

---

(3)
A relaxed CaTiP2O8 crystal. Source: Alexandria, functional GGA-PBE.

Computed properties:
Uncorrected energy in eV per atom: -7.67
SG: No. 147
DOS at the Fermi energy in states/eV per atom: 0.000
E_form (uncorrected) in eV per atom: -2.637

Cell lengths 5.1576, 5.1576, 6.6108 Å; angles 90.00, 90.00, 120.00 degrees
Last column: nearest neighbours and their distance in Å.
Sites, in units of the cell vectors:
Ca1 0.0000 0.0000 0.0000  6 O 2.59
Ti1 0.0000 0.0000 0.5000  6 O 1.94
P1 0.6667 0.3333 0.2336  4 O 1.51-1.56
P2 0.3333 0.6667 0.7664  4 O 1.51-1.56
O1 0.3333 0.6667 0.9948  1 P 1.51
O2 0.3404 0.1769 0.3166  1 P 1.56
O3 0.8231 0.1635 0.3166  1 P 1.56
O4 0.6667 0.3333 0.0052  1 P 1.51
O5 0.1769 0.8365 0.6834  1 P 1.56
O6 0.6596 0.8231 0.6834  1 P 1.56
O7 0.1635 0.3404 0.6834  1 P 1.56
O8 0.8365 0.6596 0.3166  1 P 1.56

---

(4)
A relaxed B2PC crystal. Source: Alexandria, functional GGA-PBE.

Computed properties:
Uncorrected energy in eV per atom: -6.90
SG: No. 122
Offset from the most stable computed form in meV per atom: 24
DOS at the Fermi energy in states/eV per atom: 0.392
Formation energy in eV/atom: 0.099

Cell lengths 4.1851, 4.1851, 5.0677 Å; angles 65.61, 65.61, 90.00 degrees
Last column: nearest neighbours and their distance in Å.
Sites, in units of the cell vectors:
P1 0.0000 0.0000 0.0000  4 B 1.96
P2 0.7500 0.2500 0.5000  4 B 1.96
C1 0.5000 0.5000 0.0000  4 B 1.67
C2 0.2500 0.7500 0.5000  4 B 1.67
B1 0.5640 0.1250 0.2500  2 C 1.67
B2 0.1860 0.6250 0.2500  2 C 1.67
B3 0.3750 0.4360 0.7500  2 C 1.67
B4 0.8750 0.8140 0.7500  2 C 1.67

---

(5)
A relaxed Mg2Zn2Cd crystal. Source: Alexandria, functional GGA-PBE.

Computed properties:
Uncorrected energy in eV per atom: -1.41
SG: No. 10
Offset from the most stable computed form in meV per atom: 0
DOS at the Fermi energy in states/eV per atom: 0.336
Formation energy in eV/atom: -0.084

Cell lengths 3.1043, 4.4022, 7.2746 Å; angles 107.18, 90.00, 90.00 degrees
Last column: nearest neighbours and their distance in Å.
Sites, in units of the cell vectors:
Mg1 0.5000 0.3827 0.7654  6 Zn 2.93-2.95, 3 Mg 3.10-3.26, 4 Cd 3.14-3.16
Mg2 0.5000 0.6173 0.2346  6 Zn 2.93-2.95, 3 Mg 3.10-3.26, 4 Cd 3.14-3.16
Zn1 0.0000 0.7972 0.5956  2 Zn 2.57-2.58, 1 Cd 2.81
Zn2 0.0000 0.2028 0.4044  2 Zn 2.57-2.58, 1 Cd 2.81
Cd1 0.0000 0.0000 0.0000  2 Zn 2.81, 2 Cd 3.10, 4 Mg 3.14

---

(6)
A relaxed Sr2Cd5Au3 crystal. Source: Alexandria, functional GGA-PBE.

Computed properties:
Uncorrected energy in eV per atom: -2.17
SG: No. 115
Offset from the most stable computed form in meV per atom: 46
DOS at the Fermi energy in states/eV per atom: 0.442
Formation energy in eV/atom: -0.394

Cell lengths 4.3908, 4.3908, 13.2959 Å; angles 90.00, 90.00, 90.00 degrees
Last column: nearest neighbours and their distance in Å.
Sites, in units of the cell vectors:
Sr1 0.5000 0.0000 0.2769  4 Au 3.28, 4 Cd 3.54
Sr2 0.0000 0.5000 0.7231  4 Au 3.28, 4 Cd 3.54
Cd1 0.5000 0.5000 0.0000  8 Cd 2.96-3.10
Cd2 0.0000 0.0000 0.0000  8 Cd 2.96-3.10
Cd3 0.5000 0.0000 0.8508  1 Au 2.76, 4 Cd 2.96
Cd4 0.0000 0.5000 0.1492  1 Au 2.76, 4 Cd 2.96
Cd5 0.5000 0.5000 0.5000  8 Au 2.91-3.10
Au1 0.5000 0.0000 0.6432  3 Cd 2.76-2.91, 2 Au 2.91
Au2 0.0000 0.5000 0.3568  3 Cd 2.76-2.91, 2 Au 2.91
Au3 0.0000 0.0000 0.5000  4 Au 2.91, 4 Cd 3.10

---

(7)
A relaxed Dy3Ag4Pb2 crystal. Source: Alexandria, functional GGA-PBE.

Computed properties:
Uncorrected energy in eV per atom: -3.95
SG: No. 12
DOS at the Fermi energy in states/eV per atom: 0.518
Formation energy in eV/atom: -0.320

Cell lengths 4.7698, 6.0246, 9.2660 Å; angles 114.86, 90.00, 113.32 degrees
Last column: nearest neighbours and their distance in Å.
Sites, in units of the cell vectors:
Dy1 0.6590 0.3180 0.6782  8 Ag 3.09-3.41, 3 Pb 3.25-3.34
Dy2 0.0000 0.0000 0.0000  6 Ag 3.23-3.38, 4 Pb 3.30, 2 Dy 3.58
Dy3 0.3410 0.6820 0.3218  8 Ag 3.09-3.41, 3 Pb 3.25-3.34
Ag1 0.7084 0.4167 0.0344  2 Ag 2.74, 1 Pb 2.86
Ag2 0.2916 0.5833 0.9656  2 Ag 2.74, 1 Pb 2.86
Ag3 0.9170 0.8341 0.5742  1 Ag 2.75, 2 Pb 2.86
Ag4 0.0830 0.1659 0.4258  1 Ag 2.75, 2 Pb 2.86
Pb1 0.6149 0.2298 0.2760  3 Ag 2.86
Pb2 0.3851 0.7702 0.7240  3 Ag 2.86

---

(8)
A relaxed ZnTcRu2Cl crystal. Source: Alexandria, functional GGA-PBE.

Computed properties:
Uncorrected energy in eV per atom: -4.34
SG: No. 123
DOS at the Fermi energy in states/eV per atom: 2.377
E_form (uncorrected) in eV per atom: 2.066

Cell lengths 4.5967, 4.3714, 4.5967 Å; angles 90.00, 90.00, 90.00 degrees
Last column: nearest neighbours and their distance in Å.
Sites, in units of the cell vectors:
Ru1 0.0000 0.0000 0.5000  2 Zn 2.30
Ru2 0.5000 0.0000 0.0000  2 Zn 2.30
Zn1 0.0000 0.0000 0.0000  2 Cl 2.19, 4 Ru 2.30
Tc1 0.5000 0.5000 0.5000  8 Ru 3.17, 4 Cl 3.25
Cl1 0.0000 0.5000 0.0000  2 Zn 2.19

---

(9)
A relaxed Ho2HfGa crystal. Source: Alexandria, functional GGA-PBE.

Computed properties:
Uncorrected energy in eV per atom: -5.69
SG: No. 123
Offset from the most stable computed form in meV per atom: 54
DOS at the Fermi energy in states/eV per atom: 0.672
Formation energy in eV/atom: -0.157

Cell lengths 4.5584, 4.5377, 4.5377 Å; angles 90.00, 90.00, 90.00 degrees
Last column: nearest neighbours and their distance in Å.
Sites, in units of the cell vectors:
Hf1 0.5000 0.0000 0.0000  4 Ga 3.21, 8 Ho 3.22
Ho1 0.0000 0.0000 0.5000  4 Ho 3.21, 4 Hf 3.22, 4 Ga 3.22
Ho2 0.0000 0.5000 0.0000  4 Ho 3.21, 4 Hf 3.22, 4 Ga 3.22
Ga1 0.5000 0.5000 0.5000  4 Hf 3.21, 8 Ho 3.22

---

(10)
A relaxed Sr6Ca2Ac crystal. Source: Alexandria, functional GGA-PBE.

Computed properties:
Uncorrected energy in eV per atom: -1.94
SG: No. 15
Offset from the most stable computed form in meV per atom: 0
DOS at the Fermi energy in states/eV per atom: 1.691
Formation energy in eV/atom: 0.085

Cell lengths 10.3638, 10.3465, 10.3465 Å; angles 67.69, 67.19, 67.19 degrees
Last column: nearest neighbours and their distance in Å.
Sites, in units of the cell vectors:
Sr1 0.3321 0.6673 0.5073  2 Ca 3.82-3.93, 5 Sr 3.84-4.27
Sr2 0.1679 0.4927 0.3327  2 Ca 3.82-3.93, 5 Sr 3.84-4.27
Sr3 0.6679 0.3327 0.4927  2 Ca 3.82-3.93, 5 Sr 3.84-4.27
Sr4 0.8321 0.5073 0.6673  2 Ca 3.82-3.93, 5 Sr 3.84-4.27
Sr5 0.9132 0.9159 0.4163  1 Ac 3.94, 9 Sr 4.05-4.37, 2 Ca 4.23-4.24
Sr6 0.5868 0.5837 0.0841  1 Ac 3.94, 9 Sr 4.05-4.37, 2 Ca 4.23-4.24
Sr7 0.0868 0.0841 0.5837  1 Ac 3.94, 9 Sr 4.05-4.37, 2 Ca 4.23-4.24
Sr8 0.4132 0.4163 0.9159  1 Ac 3.94, 9 Sr 4.05-4.37, 2 Ca 4.23-4.24
Sr9 0.1683 0.8333 0.9917  2 Ca 3.82-3.93, 5 Sr 3.84-4.27
Sr10 0.3317 0.0083 0.1667  2 Ca 3.82-3.93, 5 Sr 3.84-4.27
Sr11 0.8317 0.1667 0.0083  2 Ca 3.82-3.93, 5 Sr 3.84-4.27
Sr12 0.6683 0.9917 0.8333  2 Ca 3.82-3.93, 5 Sr 3.84-4.27
Ca1 0.0004 0.6570 0.8426  1 Ca 3.62, 4 Sr 3.82-3.93
Ca2 0.4996 0.1574 0.3430  1 Ca 3.62, 4 Sr 3.82-3.93
Ca3 0.9996 0.3430 0.1574  1 Ca 3.62, 4 Sr 3.82-3.93
Ca4 0.5004 0.8426 0.6570  1 Ca 3.62, 4 Sr 3.82-3.93
Ac1 0.2500 0.2502 0.7498  10 Sr 3.94-4.34, 4 Ca 4.25
Ac2 0.7500 0.7498 0.2502  10 Sr 3.94-4.34, 4 Ca 4.25

---

(11)
A relaxed TbHfSb2 crystal. Source: Alexandria, functional GGA-PBE.

Computed properties:
Uncorrected energy in eV per atom: -5.84
SG: No. 166
Offset from the most stable computed form in meV per atom: 581
DOS at the Fermi energy in states/eV per atom: 0.804
E_form (uncorrected) in eV per atom: -0.132

Cell lengths 3.4134, 3.4134, 11.0316 Å; angles 81.10, 81.10, 60.00 degrees
Last column: nearest neighbours and their distance in Å.
Sites, in units of the cell vectors:
Tb1 0.0000 0.0000 0.0000  2 Sb 3.15, 6 Tb 3.41
Hf1 0.5000 0.5000 0.5000  6 Sb 3.01
Sb1 0.0968 0.0968 0.7095  3 Hf 3.01, 1 Tb 3.15
Sb2 0.9032 0.9032 0.2905  3 Hf 3.01, 1 Tb 3.15

---

(12)
A relaxed HoHfTlAu crystal. Source: Alexandria, functional GGA-PBE.

Computed properties:
Uncorrected energy in eV per atom: -5.30
SG: No. 216
DOS at the Fermi energy in states/eV per atom: 0.675
Formation energy in eV/atom: -0.259

Cell lengths 5.0647, 5.0647, 5.0647 Å; angles 60.00, 60.00, 60.00 degrees
Last column: nearest neighbours and their distance in Å.
Sites, in units of the cell vectors:
Hf1 0.2500 0.2500 0.2500  4 Tl 3.10, 4 Au 3.10
Tl1 0.5000 0.5000 0.5000  4 Ho 3.10, 4 Hf 3.10
Au1 0.0000 0.0000 0.0000  4 Hf 3.10, 4 Ho 3.10
Ho1 0.7500 0.7500 0.7500  4 Tl 3.10, 4 Au 3.10